(1)
First-principles (GGA-PBE) data for NdSm4Ho7 after structural relaxation, as listed in Alexandria via LeMat-Bulk.

The space group is P-1 (No. 2) and the conventional cell measures 6.5576, 6.8382 and 9.0674 Å, with angles of 84.97, 76.93 and 81.59 degrees. The inequivalent atoms are Nd at (0.0000, 0.0000, 0.0000), Sm at (0.1647, 0.6129, 0.3107), Sm at (0.3615, 0.1941, 0.7135), Ho at (0.0000, 0.5000, 0.0000), Ho at (0.1894, 0.1045, 0.3861), Ho at (0.3176, 0.7010, 0.6422) and Ho at (0.4852, 0.2504, 0.0504).

For the energy of formation, the calculation gives 1.0 eV per formula unit. The calculation puts the relative energy among the computed polymorphs at 0 meV per atom. Its density of states at the Fermi level is 1.630 states/eV/atom. Its crystal system is triclinic.


(2)
First-principles (GGA-PBE) data for Nd4Sm3Ho2 after structural relaxation, as listed in Alexandria via LeMat-Bulk.

The space group is P-1 (No. 2) and the conventional cell measures 6.2799, 6.2831 and 9.5987 Å, with angles of 90.01, 109.00 and 119.96 degrees. The inequivalent atoms are Nd at (0.1110, 0.3885, 0.1656), Nd at (0.3315, 0.1654, 0.4999), Sm at (0.0000, 0.5000, 0.5000), Sm at (0.4445, 0.0560, 0.1650) and Ho at (0.2242, 0.2791, 0.8350).

For the energy of formation, the calculation gives 0.1 eV per formula unit. The calculation puts the relative energy among the computed polymorphs at 0 meV per atom. Its density of states at the Fermi level is 1.406 states/eV/atom. Its crystal system is triclinic.


- energy of formation of number 1 (NdSm4Ho7)?
  1.0 eV per formula unit


- What is the energy of formation in the second record?
  0.1 eV per formula unit


- energy of formation of number 1 (NdSm4Ho7)?
  1.0 eV per formula unit


- Number 2 is which compound?
  Nd4Sm3Ho2